## 1
Computed, not measured: a relaxed structure of Pr4Ho3 at the PBE level of DFT.

```
Pr4Ho3
1.0
-0.558 -3.168 -5.045
1.561 -7.776 4.710
-4.315 2.991 2.148
Pr Ho
4 3
direct
0.862 0.582 0.724
0.138 0.418 0.276
0.714 0.139 0.427
0.286 0.861 0.573
0.000 0.000 0.000
0.567 0.711 0.134
0.433 0.289 0.866
```

Total magnetic moment: 0.00 μB/f.u.
Symmetry: No. 12

## 2
Computed, not measured: a relaxed structure of Pr4Ho3 at the PBE level of DFT.

```
Pr4Ho3
1.0
3.532 0.000 0.000
0.000 8.887 -0.503
-1.766 -4.589 7.918
Pr Ho
4 3
direct
0.080 0.453 0.160
0.920 0.547 0.840
0.361 0.128 0.721
0.639 0.872 0.279
0.000 0.000 0.000
0.220 0.298 0.441
0.780 0.702 0.559
```

Total magnetic moment: 0.00 μB/f.u.
Symmetry: No. 12

Which structure loses on stability? 2 does.

## 1
Computed, not measured: a relaxed structure of Pr13Ho2 at the PBE level of DFT.

```
Pr13Ho2
1.0
-5.691 -4.350 -1.300
-4.212 -2.225 5.505
-10.253 7.341 -0.064
Pr Ho
13 2
direct
0.500 0.500 0.500
0.706 0.212 0.871
0.212 0.212 0.871
0.212 0.706 0.871
0.788 0.294 0.129
0.294 0.788 0.129
0.788 0.788 0.129
0.542 0.047 0.364
0.047 0.047 0.364
0.047 0.542 0.364
0.953 0.458 0.636
0.458 0.953 0.636
0.953 0.953 0.636
0.294 0.294 0.118
0.706 0.706 0.882
```

Total magnetic moment: 0.00 μB/f.u.
Symmetry: No. 166

## 2
Computed, not measured: a relaxed structure of Pr13Ho2 at the PBE level of DFT.

```
Pr13Ho2
1.0
-3.258 -6.018 0.159
6.076 -1.699 6.759
-8.156 3.109 3.071
Pr Ho
13 2
direct
0.702 0.628 0.026
0.298 0.372 0.974
0.000 0.000 0.000
0.304 0.038 0.638
0.696 0.962 0.362
0.102 0.563 0.766
0.898 0.437 0.234
0.396 0.603 0.406
0.604 0.397 0.594
0.499 0.831 0.835
0.501 0.169 0.165
0.807 0.193 0.790
0.193 0.807 0.210
0.901 0.768 0.570
0.099 0.232 0.430
```

Total magnetic moment: 0.00 μB/f.u.
Symmetry: No. 2

Which structure loses on stability? 1 does.

## 1
Computed, not measured: a relaxed structure of PrHo2 at the PBE level of DFT.

```
PrHo2
1.0
-2.902 1.808 -1.105
-1.915 -1.436 2.681
4.328 5.637 3.701
Pr Ho
1 2
direct
0.000 0.000 0.000
0.669 0.669 0.338
0.331 0.331 0.662
```

Total magnetic moment: 0.00 μB/f.u.
Symmetry: No. 139

## 2
Computed, not measured: a relaxed structure of PrHo2 at the PBE level of DFT.

```
PrHo2
1.0
3.653 0.000 0.000
0.000 6.061 0.000
0.000 0.000 17.676
Pr Ho
4 8
direct
0.750 0.745 0.494
0.250 0.255 0.506
0.250 0.755 0.994
0.750 0.245 0.006
0.750 0.900 0.823
0.250 0.100 0.177
0.250 0.600 0.323
0.750 0.400 0.677
0.750 0.101 0.342
0.250 0.899 0.658
0.250 0.399 0.842
0.750 0.601 0.158
```

Total magnetic moment: 0.00 μB/f.u.
Symmetry: No. 62

Which structure loses on stability? 2 does.

## 1
Computed, not measured: a relaxed structure of PrHo2 at the PBE level of DFT.

```
PrHo2
1.0
-1.101 1.052 -3.282
-3.295 -0.918 -1.182
-5.085 6.282 3.721
Pr Ho
1 2
direct
0.505 0.001 0.494
0.285 0.441 0.832
0.726 0.560 0.157
```

Total magnetic moment: 0.00 μB/f.u.
Symmetry: No. 12

## 2
Computed, not measured: a relaxed structure of PrHo2 at the PBE level of DFT.

```
PrHo2
1.0
6.659 0.000 0.000
3.330 5.767 0.000
3.330 1.922 5.437
Pr Ho
2 4
direct
0.000 0.000 0.000
0.250 0.250 0.250
0.125 0.625 0.625
0.625 0.125 0.625
0.625 0.625 0.625
0.625 0.625 0.125
```

Total magnetic moment: 1.83 μB/f.u.
Symmetry: No. 227

Which structure loses on stability? 2 does.

## 1
Computed, not measured: a relaxed structure of Pr5Ho3 at the PBE level of DFT.

```
Pr5Ho3
1.0
7.368 0.000 0.000
0.000 8.665 -0.349
0.000 -0.353 8.665
Pr Ho
10 6
direct
0.000 0.960 0.040
0.000 0.047 0.464
0.748 0.290 0.208
0.252 0.290 0.208
0.000 0.536 0.953
0.500 0.455 0.545
0.747 0.709 0.291
0.253 0.709 0.291
0.748 0.792 0.710
0.252 0.792 0.710
0.500 0.960 0.040
0.500 0.045 0.460
0.748 0.208 0.792
0.252 0.208 0.792
0.500 0.540 0.955
0.000 0.457 0.543
```

Total magnetic moment: 0.00 μB/f.u.
Symmetry: No. 38

## 2
Computed, not measured: a relaxed structure of Pr5Ho3 at the PBE level of DFT.

```
Pr5Ho3
1.0
3.658 0.000 0.000
0.000 3.658 0.000
0.000 0.000 20.512
Pr Ho
5 3
direct
0.000 0.000 0.247
0.500 0.500 0.624
0.500 0.500 0.376
0.000 0.000 0.753
0.000 0.000 0.000
0.500 0.500 0.123
0.500 0.500 0.877
0.000 0.000 0.500
```

Total magnetic moment: 0.00 μB/f.u.
Symmetry: No. 123

Which structure loses on stability? 1 does.

## 1
Computed, not measured: a relaxed structure of PrHo2Pt2 at the PBE level of DFT.

```
PrHo2Pt2
1.0
0.539 1.511 -4.397
4.149 -2.153 -0.238
-5.045 -4.526 0.391
Pr Ho Pt
1 2 2
direct
0.000 0.000 0.000
0.249 0.751 0.500
0.751 0.249 0.500
0.609 0.609 0.227
0.391 0.391 0.773
```

Total magnetic moment: 0.00 μB/f.u.
Symmetry: No. 12

## 2
Computed, not measured: a relaxed structure of PrHo2Pt2 at the PBE level of DFT.

```
PrHo2Pt2
1.0
-3.806 0.585 2.651
0.628 -5.021 2.010
5.784 4.907 7.220
Pr Ho Pt
2 4 4
direct
0.250 0.418 0.220
0.750 0.582 0.780
0.250 0.126 0.887
0.750 0.228 0.473
0.250 0.772 0.527
0.750 0.874 0.113
0.750 0.704 0.368
0.750 0.340 0.026
0.250 0.296 0.632
0.250 0.660 0.974
```

Total magnetic moment: 0.00 μB/f.u.
Symmetry: No. 11

Which structure loses on stability? 1 does.